Entry from Alexandria via LeMat-Bulk: a geometry-optimized CaAg6Au6 structure (PBE).

Output
- E: -3.143 eV per atom
- Space group: Immm
- Formation enthalpy at 0 K: -15 kJ per mole of atoms

Unit cell a=5.469 b=7.375 c=7.375 alpha=82.37 beta=68.24 gamma=68.24
Fractional coordinates of all 13 atoms:
1 Ca 0.000 0.000 0.000
2 Ag 0.354 0.646 0.646
3 Ag 0.646 0.354 0.354
4 Ag 0.000 0.354 0.646
5 Ag 0.000 0.646 0.354
6 Ag 0.284 0.216 0.216
7 Ag 0.716 0.784 0.784
8 Au 0.000 0.500 0.000
9 Au 0.500 0.500 0.000
10 Au 0.000 0.000 0.500
11 Au 0.500 0.000 0.500
12 Au 0.500 0.789 0.211
13 Au 0.500 0.211 0.789